Compound: TbSn2
Source: the Alexandria database
Functional: SCAN
Structure: PBEsol geometry

Lattice parameters (Å, degrees): 8.3271 8.3271 4.2957 90.00 90.00 149.55
Atoms (fractional coordinates):
Tb1 0.0983 0.9017 0.7500
Tb2 0.9017 0.0983 0.2500
Sn1 0.2512 0.7488 0.2500
Sn2 0.4359 0.5641 0.7500
Sn3 0.5641 0.4359 0.2500
Sn4 0.7488 0.2512 0.7500

Values from the calculation:
- Formation enthalpy at 0 K: -0.69 eV per atom

=====

Compound: BaP2S2
Source: the Alexandria database
Functional: SCAN
Structure: PBEsol geometry

Lattice parameters (Å, degrees): 6.2563 6.2563 5.7623 90.00 90.00 90.00
Atoms (fractional coordinates):
Ba1 0.0000 0.0000 0.0000
P1 0.0000 0.5000 0.0000
P2 0.5000 0.0000 0.0000
S1 0.0000 0.0000 0.5000
S2 0.5000 0.5000 0.5000

Values from the calculation:
- E_form (uncorrected): 1.36 eV/atom
- Energy above the lowest structure with this stoichiometry: 139.6 meV/atom

=====

Compound: KCoAu2
Source: the Alexandria database
Functional: SCAN
Structure: PBEsol geometry

Lattice parameters (Å, degrees): 2.7878 3.4952 7.8574 90.00 90.00 90.00
Atoms (fractional coordinates):
K1 0.0000 0.0000 0.0000
Co1 0.0000 0.0000 0.5000
Au1 0.5000 0.5000 0.3183
Au2 0.5000 0.5000 0.6817

Values from the calculation:
- Formation enthalpy at 0 K: 0.08 eV per atom
- Energy above the lowest structure with this stoichiometry: 12.1 meV/atom

=====

Compound: MnH3S
Source: the Alexandria database
Functional: SCAN
Structure: PBEsol geometry

Lattice parameters (Å, degrees): 3.3900 3.3900 3.3900 90.00 90.00 90.00
Atoms (fractional coordinates):
Mn1 0.0000 0.0000 0.0000
H1 0.0000 0.0000 0.5000
H2 0.0000 0.5000 0.0000
H3 0.5000 0.0000 0.0000
S1 0.5000 0.5000 0.5000

Values from the calculation:
- Electronic total energy: -7.100 eV/atom

=====

Compound: BaSrS2
Source: the Alexandria database
Functional: SCAN
Structure: PBEsol geometry

Lattice parameters (Å, degrees): 8.9306 8.9306 8.9306 30.88 30.88 30.88
Atoms (fractional coordinates):
Ba1 0.0000 0.0000 0.0000
Sr1 0.5000 0.5000 0.5000
S1 0.3953 0.3953 0.3953
S2 0.6047 0.6047 0.6047

Values from the calculation:
- E_form (uncorrected): -1.59 eV/atom
- Energy above the lowest structure with this stoichiometry: 548.4 meV/atom

=====

Compound: LiInF2
Source: the Alexandria database
Functional: SCAN
Structure: PBEsol geometry

Lattice parameters (Å, degrees): 6.7104 6.7104 6.7104 25.70 25.70 25.70
Atoms (fractional coordinates):
Li1 0.0000 0.0000 0.0000
In1 0.5000 0.5000 0.5000
F1 0.3883 0.3883 0.3883
F2 0.6117 0.6117 0.6117

Values from the calculation:
- E_form (uncorrected): -2.41 eV/atom

=====

Compound: BaCe2CoS5
Source: the Alexandria database
Functional: SCAN
Structure: PBEsol geometry

Lattice parameters (Å, degrees): 8.4599 8.4599 8.4599 126.51 126.51 79.05
Atoms (fractional coordinates):
Ba1 0.2500 0.2500 0.0000
Ba2 0.7500 0.7500 0.0000
Ce1 0.1623 0.6623 0.8246
Ce2 0.3377 0.1623 0.5000
Ce3 0.6623 0.8377 0.5000
Ce4 0.8377 0.3377 0.1754
Co1 0.2500 0.7500 0.5000
Co2 0.7500 0.2500 0.5000
S1 0.0000 0.0000 0.0000
S2 0.0117 0.2183 0.5000
S3 0.2183 0.7183 0.2066
S4 0.2817 0.4883 0.5000
S5 0.4883 0.9883 0.2066
S6 0.5000 0.5000 0.0000
S7 0.5117 0.0117 0.7934
S8 0.7183 0.5117 0.5000
S9 0.7817 0.2817 0.7934
S10 0.9883 0.7817 0.5000

Values from the calculation:
- E_form (uncorrected): -1.94 eV/atom

=====

Compound: TiTeRhI2
Source: the Alexandria database
Functional: SCAN
Structure: PBEsol geometry

Lattice parameters (Å, degrees): 5.2147 5.2147 5.1961 90.00 90.00 90.00
Atoms (fractional coordinates):
Ti1 0.0000 0.0000 0.0000
Te1 0.5000 0.5000 0.0000
Rh1 0.5000 0.5000 0.5000
I1 0.0000 0.5000 0.5000
I2 0.5000 0.0000 0.5000

Values from the calculation:
- E_form (uncorrected): 0.34 eV/atom

=====

no.,magnetization (Bohr magnetons per cell)
1,0.00
2,8.01
3,2.18
4,3.19
5,0.00
6,0.00
7,2.00
8,1.84